No. 1
The following is a GGA-PBE calculation of a relaxed LiBe2Ge2 crystal, from the Alexandria database.

Output
Size of the total moment (μB/cell): 0.00
V (Å³/cell): 138.3
Calculated formation energy (eV/atom): 0.176

POSCAR file:
```
LiBe2Ge2
1.0
7.081 0.000 0.000
0.000 7.081 0.000
0.000 0.000 2.758
Li Be Ge
2 4 4
Cartesian
0.000 0.000 0.000 Li
3.541 3.541 0.000 Li
0.837 2.703 0.000 Be
2.703 6.244 0.000 Be
4.378 0.837 0.000 Be
6.244 4.378 0.000 Be
1.238 4.779 1.379 Ge
2.302 1.238 1.379 Ge
4.779 5.843 1.379 Ge
5.843 2.302 1.379 Ge
```

No. 2
The following is a GGA-PBE calculation of a relaxed La6Te3AsSe2 crystal, from the Alexandria database.

Output
Size of the total moment (μB/cell): 0.00
Electronic total energy (eV per atom): -5.973
V (Å³/cell): 376.4

POSCAR file:
```
La6Te3AsSe2
1.0
3.833 -6.638 0.000
3.833 6.638 0.000
-2.554 0.000 7.396
La Te As Se
6 3 1 2
Cartesian
1.263 2.187 1.648 La
-0.030 0.000 5.743 La
1.263 -2.187 1.648 La
3.848 2.187 5.748 La
5.141 0.000 1.653 La
3.848 -2.187 5.748 La
2.556 4.413 3.698 Te
2.556 0.000 3.698 Te
2.556 -4.413 3.698 Te
0.000 0.000 0.000 As
3.833 2.211 0.000 Se
3.833 -2.211 0.000 Se
```

No. 3
The following is a GGA-PBE calculation of a relaxed Na2B2As crystal, from the Alexandria database.

Output
Size of the total moment (μB/cell): 0.00
V (Å³/cell): 148.1
Calculated formation energy (eV/atom): 0.575
Energy above the lowest structure with this stoichiometry (eV per atom): 0.000

POSCAR file:
```
Na2B2As
1.0
2.818 0.000 0.000
0.000 2.818 0.000
0.000 0.000 18.647
Na B As
4 4 2
Cartesian
0.000 0.000 2.269 Na
0.000 0.000 16.378 Na
1.409 1.409 7.054 Na
1.409 1.409 11.593 Na
0.000 1.409 4.662 B
0.000 1.409 13.985 B
1.409 0.000 4.662 B
1.409 0.000 13.985 B
0.000 0.000 9.324 As
1.409 1.409 0.000 As
```

No. 4
The following is a GGA-PBE calculation of a relaxed BeNbN2F crystal, from the Alexandria database.

Output
Size of the total moment (μB/cell): 0.10
V (Å³/cell): 42.4
Energy above the lowest structure with this stoichiometry (eV per atom): 0.000

POSCAR file:
```
BeNbN2F
1.0
3.670 0.000 0.000
0.000 3.670 0.000
0.000 0.000 3.148
Be Nb N F
1 1 2 1
Cartesian
0.000 0.000 0.000 Be
1.835 1.835 1.574 Nb
0.000 1.835 0.000 N
1.835 0.000 0.000 N
0.000 0.000 1.574 F
```

No. 5
The following is a GGA-PBE calculation of a relaxed TbBeAl3 crystal, from the Alexandria database.

Output
Size of the total moment (μB/cell): 0.00
V (Å³/cell): 176.2
Calculated formation energy (eV/atom): -0.321

POSCAR file:
```
TbBeAl3
1.0
4.059 0.000 0.000
0.000 4.059 0.000
0.000 0.000 10.695
Tb Be Al
2 2 6
Cartesian
0.000 0.000 0.000 Tb
2.029 2.029 5.347 Tb
0.000 0.000 4.172 Be
2.029 2.029 9.520 Be
0.000 0.000 6.466 Al
0.000 2.029 2.837 Al
0.000 2.029 8.185 Al
2.029 0.000 2.837 Al
2.029 0.000 8.185 Al
2.029 2.029 1.118 Al
```

No. 6
The following is a GGA-PBE calculation of a relaxed BaSr3Hg4 crystal, from the Alexandria database.

Output
Size of the total moment (μB/cell): 0.00
V (Å³/cell): 267.5
Calculated formation energy (eV/atom): -0.524

POSCAR file:
```
BaSr3Hg4
1.0
5.740 0.000 0.000
0.000 5.740 0.000
0.000 0.000 8.120
Ba Sr Hg
1 3 4
Cartesian
0.000 0.000 0.000 Ba
0.000 0.000 4.060 Sr
2.870 2.870 0.000 Sr
2.870 2.870 4.060 Sr
0.000 2.870 2.100 Hg
0.000 2.870 6.020 Hg
2.870 0.000 2.100 Hg
2.870 0.000 6.020 Hg
```

No. 7
The following is a GGA-PBE calculation of a relaxed CdHgRhF6 crystal, from the Alexandria database.

Output
Size of the total moment (μB/cell): 0.00
Electronic total energy (eV per atom): -3.787
V (Å³/cell): 306.2

POSCAR file:
```
CdHgRhF6
1.0
5.838 0.000 0.000
-2.919 5.055 0.000
0.000 0.000 10.375
Cd Hg Rh F
2 2 2 12
Cartesian
0.000 3.370 2.594 Cd
2.919 1.685 7.781 Cd
0.000 0.000 0.000 Hg
0.000 0.000 5.188 Hg
0.000 3.370 7.781 Rh
2.919 1.685 2.594 Rh
-0.919 1.948 6.684 F
-1.691 3.285 8.879 F
0.919 1.948 8.879 F
-0.772 4.878 6.684 F
2.147 0.178 1.496 F
1.227 1.770 3.692 F
1.691 3.285 6.684 F
0.772 4.878 8.879 F
3.691 0.178 3.692 F
2.000 3.108 1.496 F
4.610 1.770 1.496 F
3.838 3.108 3.692 F
```

No. 8
The following is a GGA-PBE calculation of a relaxed Tb3CeDy2Y6 crystal, from the Alexandria database.

Output
Size of the total moment (μB/cell): 1.12
V (Å³/cell): 383.9
Calculated formation energy (eV/atom): 0.037

POSCAR file:
```
Tb3CeDy2Y6
1.0
3.089 -5.348 0.000
3.089 5.348 0.000
-2.056 0.000 11.621
Tb Ce Dy Y
3 1 2 6
Cartesian
0.000 0.000 0.000 Tb
3.089 1.791 0.000 Tb
3.089 -1.791 0.000 Tb
2.061 0.000 5.811 Ce
2.061 3.566 5.811 Dy
2.061 -3.566 5.811 Dy
1.035 1.772 2.913 Y
0.015 0.000 8.711 Y
1.035 -1.772 2.913 Y
3.087 1.772 8.708 Y
4.107 0.000 2.911 Y
3.087 -1.772 8.708 Y
```

What is the V in the fourth record?
42.4 Å³/cell

The highest V belongs to which entry?
Tb3CeDy2Y6

Look up the V of the seventh one.
306.2 Å³/cell